BaSbW2 | PBE | optimized geometry

abc: 6.466 6.466 6.466
angles: 153.89 128.18 58.93
Atoms (fractional coordinates):
W1 0.033 0.033 0.000
W2 0.467 0.467 0.000
Ba1 0.750 0.250 0.500
Sb1 0.250 0.750 0.500

SG	Immm, No. 71
formation energy from raw total energies	1.22	eV/atom